## TbPr2Ga6 (PBE)

Data for a relaxed TbPr2Ga6 crystal.

```
TbPr2Ga6
1.0
4.2873 0.0000 0.0000
0.0000 6.4029 -3.6967
0.0000 0.0000 7.3935
Tb Pr Ga
1 2 6
Direct
0.0000 0.0000 0.0000
0.0000 0.3333 0.6667
0.0000 0.6667 0.3333
0.5000 0.3319 0.3319
0.5000 0.6681 0.6681
0.5000 0.0000 0.6681
0.5000 0.6681 0.0000
0.5000 0.3319 0.0000
0.5000 0.0000 0.3319
```

uncorrected energy: -4.2665 eV/atom
energy relative to the elements: -0.6720 eV/atom
crystal system: hexagonal

## TbPrGa (PBE)

Data for a relaxed TbPrGa crystal.

```
TbPrGa
1.0
-2.5526 -2.5617 -1.3438
2.1529 0.2246 -4.5179
1.5893 -3.3506 3.3683
Pr Tb Ga
1 1 1
Direct
0.6331 0.6667 0.3333
0.0824 0.0000 0.0000
0.2845 0.3333 0.6667
```

uncorrected energy: -4.4037 eV/atom
energy relative to the elements: -0.2581 eV/atom
crystal system: trigonal

## Tb5PrGa4 (PBE)

Data for a relaxed Tb5PrGa4 crystal.

```
Tb5PrGa4
1.0
-1.1119 2.3205 -2.7045
5.8588 -3.6227 -5.5171
-6.1956 -6.4642 -0.4227
Tb Pr Ga
5 1 4
Direct
0.8114 0.6640 0.6228
0.8506 0.2274 0.7012
0.1494 0.7726 0.2988
0.5000 0.5000 0.0000
0.1886 0.3360 0.3772
0.5000 0.0000 0.0000
0.3111 0.9491 0.6221
0.9759 0.7343 0.9519
0.6889 0.0509 0.3779
0.0241 0.2657 0.0481
```

uncorrected energy: -4.2704 eV/atom
energy relative to the elements: -0.2666 eV/atom
crystal system: monoclinic

## TbPr3Ga (PBE)

Data for a relaxed TbPr3Ga crystal.

```
TbPr3Ga
1.0
7.8929 -0.2929 -0.0236
-4.1295 6.7310 0.0215
-3.7754 -2.1148 6.6046
Tb Pr Ga
2 6 2
Direct
0.5588 0.7816 0.2771
0.5045 0.2816 0.7229
0.0318 0.2677 0.7358
0.0318 0.7959 0.2641
0.5318 0.7677 0.7360
0.0687 0.2815 0.2873
0.5319 0.2959 0.2641
0.9943 0.7815 0.7126
0.5315 0.0315 0.0000
0.0315 0.5315 0.0000
```

uncorrected energy: -4.4203 eV/atom
energy relative to the elements: -0.0212 eV/atom
crystal system: orthorhombic

## TbPrGa4 (PBE)

Data for a relaxed TbPrGa4 crystal.

```
TbPrGa4
1.0
4.0532 0.0000 -1.2516
-0.3865 4.0348 -1.2516
0.2478 0.2727 7.9915
Tb Pr Ga
1 1 4
Direct
0.0000 0.0000 0.0000
0.2500 0.7500 0.5000
0.6659 0.1659 0.3318
0.5820 0.5820 0.1640
0.8341 0.3341 0.6682
0.4180 0.4180 0.8360
```

uncorrected energy: -4.2474 eV/atom
energy relative to the elements: -0.6612 eV/atom
crystal system: tetragonal

## TbPrGa (PBE)

Data for a relaxed TbPrGa crystal.

```
TbPrGa
1.0
-2.0085 -2.1312 2.0210
-0.9438 -1.8501 -2.8891
6.7041 -2.0824 1.3345
Pr Tb Ga
1 1 1
Direct
0.0201 0.0201 0.0402
0.3075 0.3075 0.6151
0.6724 0.6724 0.3448
```

uncorrected energy: -4.4843 eV/atom
energy relative to the elements: -0.3387 eV/atom
crystal system: tetragonal

## Tb6Pr2Ga (PBE)

Data for a relaxed Tb6Pr2Ga crystal.

```
Tb6Pr2Ga
1.0
-1.0052 -3.2310 1.1840
1.4854 -3.8880 -9.3491
7.1038 1.9458 5.9204
Tb Pr Ga
6 2 1
Direct
0.1795 0.3357 0.3593
0.8205 0.9764 0.6407
0.8205 0.6643 0.6407
0.5000 0.2600 0.0000
0.1795 0.0236 0.3593
0.5000 0.7400 0.0000
0.1398 0.6399 0.2799
0.8602 0.3601 0.7201
0.0000 0.0000 0.0000
```

uncorrected energy: -4.5003 eV/atom
energy relative to the elements: -0.0150 eV/atom
crystal system: orthorhombic

## Tb3Pr2Ga4 (PBE)

Data for a relaxed Tb3Pr2Ga4 crystal.

```
Tb3Pr2Ga4
1.0
7.6298 0.1098 0.0000
-2.4014 7.6867 0.0000
0.0000 0.0000 8.0784
Tb Pr Ga
6 4 8
Direct
0.0000 0.5000 0.5000
0.5000 0.5000 0.0000
0.7515 0.2399 0.8252
0.7485 0.7601 0.3252
0.2485 0.7601 0.1748
0.2515 0.2399 0.6748
0.5742 0.1906 0.3189
0.9258 0.8094 0.8189
0.4258 0.8094 0.6811
0.0742 0.1906 0.1811
0.8690 0.0804 0.5312
0.6310 0.9196 0.0312
0.1310 0.9196 0.4688
0.3690 0.0804 0.9688
0.8792 0.4946 0.1194
0.6208 0.5054 0.6194
0.1208 0.5054 0.8806
0.3792 0.4946 0.3806
```

uncorrected energy: -4.5171 eV/atom
energy relative to the elements: -0.5663 eV/atom
crystal system: monoclinic

## Tb3PrGa2 (PBE)

Data for a relaxed Tb3PrGa2 crystal.

```
Tb3PrGa2
1.0
-3.4996 -0.6729 -3.7090
-0.9790 -7.2036 5.7973
-3.2228 8.1077 1.5698
Tb Pr Ga
6 2 4
Direct
0.3115 0.6230 0.6158
0.9366 0.8731 0.5899
0.6232 0.2463 0.7375
0.3768 0.7537 0.2625
0.0634 0.1269 0.4101
0.6885 0.3770 0.3842
0.8714 0.7428 0.9320
0.1286 0.2572 0.0680
0.5098 0.0195 0.8706
0.4902 0.9805 0.1294
0.7748 0.5496 0.1652
0.2252 0.4504 0.8348
```

uncorrected energy: -4.4505 eV/atom
energy relative to the elements: -0.3299 eV/atom
crystal system: monoclinic

## Tb3PrGa3 (PBE)

Data for a relaxed Tb3PrGa3 crystal.

```
Tb3PrGa3
1.0
-4.4939 -1.6211 0.4994
-0.2565 -2.0909 -9.0950
2.9747 -6.3467 6.1666
Tb Pr Ga
6 2 6
Direct
0.7500 0.7618 0.7417
0.7500 0.2583 0.0201
0.7500 0.9799 0.2382
0.2500 0.2382 0.2583
0.2500 0.7417 0.9799
0.2500 0.0201 0.7618
0.2500 0.6667 0.3333
0.7500 0.3333 0.6667
0.2500 0.5511 0.6076
0.2500 0.3924 0.9435
0.2500 0.0565 0.4489
0.7500 0.4489 0.3924
0.7500 0.6076 0.0565
0.7500 0.9435 0.5511
```

uncorrected energy: -4.4017 eV/atom
energy relative to the elements: -0.4373 eV/atom
crystal system: hexagonal

## Tb2Pr3Ga4 (PBE)

Data for a relaxed Tb2Pr3Ga4 crystal.

```
Tb2Pr3Ga4
1.0
4.5096 0.0000 0.0000
-2.2548 5.5948 0.3856
0.0000 -0.8781 9.7054
Tb Pr Ga
2 3 4
Direct
0.3186 0.6371 0.2319
0.6814 0.3629 0.7681
0.3801 0.7603 0.6180
0.0000 0.0000 0.0000
0.6199 0.2397 0.3820
0.6986 0.3971 0.0710
0.0807 0.1614 0.6055
0.9193 0.8386 0.3945
0.3014 0.6029 0.9290
```

uncorrected energy: -4.4263 eV/atom
energy relative to the elements: -0.4589 eV/atom
crystal system: monoclinic

## TbPrTlGa (PBE)

Data for a relaxed TbPrTlGa crystal.

```
TbPrTlGa
1.0
-3.0377 0.2210 -2.1274
-1.3022 -3.1225 1.5351
-3.5295 4.1622 5.4723
Tb Pr Tl Ga
1 1 1 1
Direct
0.5000 0.5000 0.5904
0.5000 0.5000 0.1237
0.0000 0.0000 0.8440
0.0000 0.0000 0.3698
```

uncorrected energy: -4.1698 eV/atom
energy relative to the elements: -0.4691 eV/atom
crystal system: tetragonal

no.,M_tot (μB/f.u.)
1,0.000
2,0.000
3,0.000
4,0.000
5,0.000
6,0.000
7,0.000
8,0.000
9,0.002
10,0.000
11,0.000
12,0.000